HfInPd2 | GGA-PBE | optimized geometry

Cell lengths 3.384, 3.384, 6.471 Å; angles 90.00, 90.00, 90.00 degrees
Sites, in units of the cell vectors:
Hf: 0.000 0.000 0.000
In: 0.000 0.000 0.500
Pd: 0.500 0.500 0.226
Pd: 0.500 0.500 0.774

Output
The value obtained for the density of states at the Fermi level is 2.7 states/eV/f.u. The formation enthalpy at 0 K is -0.65 eV per atom. As for the space-group type: P4/mmm, No. 123.

Hf6In3Pd | GGA-PBE | optimized geometry

Cell lengths 5.176, 9.376, 10.633 Å; angles 90.00, 118.11, 90.00 degrees
Sites, in units of the cell vectors:
Hf: 0.013 0.215 0.428
Hf: 0.013 0.285 0.928
Hf: 0.352 0.147 0.236
Hf: 0.352 0.353 0.736
Hf: 0.384 0.681 0.464
Hf: 0.384 0.819 0.964
Hf: 0.616 0.181 0.036
Hf: 0.616 0.319 0.536
Hf: 0.648 0.647 0.264
Hf: 0.648 0.853 0.764
Hf: 0.987 0.715 0.072
Hf: 0.987 0.785 0.572
In: 0.130 0.066 0.736
In: 0.130 0.434 0.236
In: 0.500 0.000 0.500
In: 0.500 0.500 0.000
In: 0.870 0.566 0.764
In: 0.870 0.934 0.264
Pd: 0.000 0.000 0.000
Pd: 0.000 0.500 0.500

Output
The value obtained for the density of states at the Fermi level is 9.0 states/eV/f.u. The formation enthalpy at 0 K is 0.01 eV per atom. As for the space-group type: P2_1/c, No. 14.

Hf2InPd2 | GGA-PBE | optimized geometry

Cell lengths 7.492, 7.492, 6.825 Å; angles 90.00, 90.00, 90.00 degrees
Sites, in units of the cell vectors:
Hf: 0.151 0.151 0.000
Hf: 0.185 0.185 0.500
Hf: 0.315 0.685 0.000
Hf: 0.349 0.651 0.500
Hf: 0.651 0.349 0.500
Hf: 0.685 0.315 0.000
Hf: 0.815 0.815 0.500
Hf: 0.849 0.849 0.000
In: 0.000 0.500 0.250
In: 0.000 0.500 0.750
In: 0.500 0.000 0.250
In: 0.500 0.000 0.750
Pd: 0.130 0.870 0.283
Pd: 0.130 0.870 0.717
Pd: 0.370 0.370 0.217
Pd: 0.370 0.370 0.783
Pd: 0.630 0.630 0.217
Pd: 0.630 0.630 0.783
Pd: 0.870 0.130 0.283
Pd: 0.870 0.130 0.717

Output
The value obtained for the density of states at the Fermi level is 3.2 states/eV/f.u. The formation enthalpy at 0 K is -0.64 eV per atom. As for the space-group type: P4_2/mnm, No. 136.

Hf4In2Pd | GGA-PBE | optimized geometry

Cell lengths 4.864, 4.864, 15.154 Å; angles 90.00, 90.00, 90.00 degrees
Sites, in units of the cell vectors:
Hf: 0.000 0.000 0.176
Hf: 0.000 0.000 0.824
Hf: 0.000 0.500 0.000
Hf: 0.000 0.500 0.500
Hf: 0.500 0.000 0.000
Hf: 0.500 0.000 0.500
Hf: 0.500 0.500 0.324
Hf: 0.500 0.500 0.676
In: 0.000 0.000 0.367
In: 0.000 0.000 0.633
In: 0.500 0.500 0.133
In: 0.500 0.500 0.867
Pd: 0.000 0.000 0.000
Pd: 0.500 0.500 0.500

Output
The value obtained for the density of states at the Fermi level is 7.1 states/eV/f.u. The formation enthalpy at 0 K is 0.39 eV per atom. As for the space-group type: I4/mmm, No. 139.

Hf2InPd3 | GGA-PBE | optimized geometry

Cell lengths 4.635, 14.136, 3.382 Å; angles 90.00, 90.00, 90.00 degrees
Sites, in units of the cell vectors:
Hf: 0.000 0.161 0.000
Hf: 0.000 0.839 0.000
Hf: 0.500 0.339 0.000
Hf: 0.500 0.661 0.000
In: 0.000 0.500 0.000
In: 0.500 0.000 0.000
Pd: 0.000 0.000 0.500
Pd: 0.000 0.315 0.500
Pd: 0.000 0.685 0.500
Pd: 0.500 0.185 0.500
Pd: 0.500 0.500 0.500
Pd: 0.500 0.815 0.500

Output
The value obtained for the density of states at the Fermi level is 3.2 states/eV/f.u. The formation enthalpy at 0 K is -0.62 eV per atom. As for the space-group type: Cmmm, No. 65. For the energy relative to the lowest polymorph listed for this composition, the calculation gives 0.0441 eV per atom.

Hf2In2Pd7 | GGA-PBE | optimized geometry

Cell lengths 5.825, 5.825, 6.616 Å; angles 90.00, 90.00, 99.53 degrees
Sites, in units of the cell vectors:
Hf: 0.202 0.798 0.000
Hf: 0.798 0.202 0.000
In: 0.318 0.318 0.500
In: 0.682 0.682 0.500
Pd: 0.000 0.000 0.288
Pd: 0.000 0.000 0.712
Pd: 0.000 0.500 0.273
Pd: 0.000 0.500 0.727
Pd: 0.500 0.000 0.273
Pd: 0.500 0.000 0.727
Pd: 0.500 0.500 0.000

Output
The value obtained for the density of states at the Fermi level is 3.3 states/eV/f.u. The formation enthalpy at 0 K is -0.29 eV per atom. As for the space-group type: Cmmm, No. 65.

HfInPd5 | GGA-PBE | optimized geometry

Cell lengths 6.474, 6.474, 7.064 Å; angles 107.98, 107.98, 102.59 degrees
Sites, in units of the cell vectors:
Hf: 0.042 0.958 0.750
Hf: 0.958 0.042 0.250
In: 0.500 0.500 0.000
In: 0.500 0.500 0.500
Pd: 0.023 0.700 0.353
Pd: 0.135 0.370 0.101
Pd: 0.298 0.702 0.750
Pd: 0.300 0.977 0.147
Pd: 0.370 0.135 0.601
Pd: 0.630 0.865 0.399
Pd: 0.700 0.023 0.853
Pd: 0.702 0.298 0.250
Pd: 0.865 0.630 0.899
Pd: 0.977 0.300 0.647

Output
The value obtained for the density of states at the Fermi level is 2.2 states/eV/f.u. The formation enthalpy at 0 K is -0.43 eV per atom. As for the space-group type: C2/c, No. 15. For the energy relative to the lowest polymorph listed for this composition, the calculation gives 0.0051 eV per atom.

HfInPd2 | GGA-PBE | optimized geometry

Cell lengths 4.842, 4.842, 3.078 Å; angles 90.00, 90.00, 90.00 degrees
Sites, in units of the cell vectors:
Hf: 0.000 0.000 0.000
In: 0.500 0.500 0.000
Pd: 0.000 0.500 0.500
Pd: 0.500 0.000 0.500

Output
The value obtained for the density of states at the Fermi level is 2.6 states/eV/f.u. The formation enthalpy at 0 K is -0.54 eV per atom. As for the space-group type: P4/mmm, No. 123.

Hf3In2Pd4 | GGA-PBE | optimized geometry

Cell lengths 4.667, 4.667, 8.770 Å; angles 90.00, 90.00, 120.00 degrees
Sites, in units of the cell vectors:
Hf: 0.000 0.000 0.000
Hf: 0.333 0.667 0.416
Hf: 0.667 0.333 0.584
In: 0.333 0.667 0.773
In: 0.667 0.333 0.227
Pd: 0.000 0.000 0.340
Pd: 0.000 0.000 0.660
Pd: 0.333 0.667 0.087
Pd: 0.667 0.333 0.913

Output
The value obtained for the density of states at the Fermi level is 3.9 states/eV/f.u. The formation enthalpy at 0 K is -0.59 eV per atom. As for the space-group type: P-3m1, No. 164.

Hf2InPd | GGA-PBE | optimized geometry

Cell lengths 4.278, 4.278, 4.304 Å; angles 90.00, 90.00, 90.00 degrees
Sites, in units of the cell vectors:
Hf: 0.000 0.500 0.000
Hf: 0.500 0.000 0.000
In: 0.000 0.000 0.500
Pd: 0.500 0.500 0.500

Output
The value obtained for the density of states at the Fermi level is 4.1 states/eV/f.u. The formation enthalpy at 0 K is -0.34 eV per atom. As for the space-group type: P4/mmm, No. 123.

HfIn2Pd2 | GGA-PBE | optimized geometry

Cell lengths 7.965, 7.965, 3.006 Å; angles 90.00, 90.00, 90.00 degrees
Sites, in units of the cell vectors:
Hf: 0.000 0.000 0.000
Hf: 0.500 0.500 0.000
In: 0.132 0.368 0.000
In: 0.368 0.868 0.000
In: 0.632 0.132 0.000
In: 0.868 0.632 0.000
Pd: 0.167 0.667 0.500
Pd: 0.333 0.167 0.500
Pd: 0.667 0.833 0.500
Pd: 0.833 0.333 0.500

Output
The value obtained for the density of states at the Fermi level is 3.5 states/eV/f.u. The formation enthalpy at 0 K is -0.29 eV per atom. As for the space-group type: P4/mbm, No. 127. For the energy relative to the lowest polymorph listed for this composition, the calculation gives 0.0967 eV per atom.

Hf6InPd | GGA-PBE | optimized geometry

Cell lengths 5.509, 5.509, 5.509 Å; angles 90.00, 90.00, 90.00 degrees
Sites, in units of the cell vectors:
Hf: 0.000 0.254 0.500
Hf: 0.000 0.746 0.500
Hf: 0.254 0.500 0.000
Hf: 0.500 0.000 0.254
Hf: 0.500 0.000 0.746
Hf: 0.746 0.500 0.000
In: 0.000 0.000 0.000
Pd: 0.500 0.500 0.500

Output
The value obtained for the density of states at the Fermi level is 11.0 states/eV/f.u. The formation enthalpy at 0 K is -0.17 eV per atom. As for the space-group type: Pm-3, No. 200.